(1)
The following is a PBE calculation of crystalline LiHfHg3Te4 at its relaxed geometry, from OQMD via LeMat-Bulk.

Summary:
crystal system	monoclinic
polymorph energy (0 for the lowest one)	0.00	eV per formula unit

The structure in extended XYZ format:
```
18
Lattice="7.729 0.000 0.000 0.000 8.397 0.000 -2.007 0.000 9.862" Properties=species:S:1:pos:R:3 pbc="T T T"
Li 6.157 2.099 1.641
Li -0.435 6.298 8.220
Hg 1.796 6.298 3.172
Hg 4.296 0.180 4.601
Hg 4.296 4.019 4.601
Hg 3.925 2.099 6.690
Hg 1.425 8.217 5.261
Hg 1.425 4.379 5.261
Te 4.178 4.170 1.707
Te 0.173 6.298 0.857
Te 6.130 6.298 5.279
Te 5.549 2.099 9.004
Te 4.178 0.029 1.707
Te 1.544 8.368 8.155
Te 1.544 4.228 8.155
Te -0.408 2.099 4.583
Hf 5.719 6.298 2.488
Hf 0.002 2.099 7.373
```



(2)
The following is a PBE calculation of crystalline LiHfHg3Te4 at its relaxed geometry, from OQMD via LeMat-Bulk.

Summary:
crystal system	cubic
polymorph energy (0 for the lowest one)	1.43	eV per formula unit

The structure in extended XYZ format:
```
9
Lattice="-2.087 -6.875 0.160 1.531 -0.302 7.015 -6.704 2.071 1.553" Properties=species:S:1:pos:R:3 pbc="T T T"
Te -5.324 -0.005 2.815
Te -0.786 -1.313 5.825
Te -5.630 -3.960 6.768
Te -2.780 -4.935 2.047
Hg -1.044 -3.438 0.080
Hg -3.352 1.036 0.776
Hg 0.766 -0.151 3.508
Li -3.630 -2.553 4.364
Hf 0.000 0.000 0.000
```



(3)
The following is a PBE calculation of crystalline Lu2HfHg at its relaxed geometry, from OQMD via LeMat-Bulk.

Summary:
crystal system	cubic
formation enthalpy at 0 K	0.13	eV/atom

The structure in extended XYZ format:
```
4
Lattice="0.000 3.632 3.632 3.632 0.000 3.632 3.632 3.632 0.000" Properties=species:S:1:pos:R:3 pbc="T T T"
Hf 1.816 1.816 1.816
Lu 5.448 5.448 5.448
Lu 0.000 0.000 0.000
Hg 3.632 3.632 3.632
```



(4)
The following is a PBE calculation of crystalline HfMgHg at its relaxed geometry, from OQMD via LeMat-Bulk.

Summary:
crystal system	cubic

The structure in extended XYZ format:
```
3
Lattice="-0.553 -2.255 4.009 -1.381 2.297 3.778 -4.253 -0.687 1.704" Properties=species:S:1:pos:R:3 pbc="T T T"
Mg -4.640 -0.483 7.118
Hf -1.547 -0.161 2.373
Hg 0.000 0.000 0.000
```



(5)
The following is a PBE calculation of crystalline HfMgHgPd at its relaxed geometry, from OQMD via LeMat-Bulk.

Summary:
crystal system	cubic
polymorph energy (0 for the lowest one)	0.64	eV per formula unit

The structure in extended XYZ format:
```
4
Lattice="0.000 3.321 3.321 3.321 0.000 3.321 3.321 3.321 0.000" Properties=species:S:1:pos:R:3 pbc="T T T"
Pd 1.660 1.660 1.660
Hf 3.321 3.321 3.321
Hg 0.000 0.000 0.000
Mg 4.981 4.981 4.981
```



(6)
The following is a PBE calculation of crystalline HfMgHgPd at its relaxed geometry, from OQMD via LeMat-Bulk.

Summary:
crystal system	cubic
polymorph energy (0 for the lowest one)	0.98	eV per formula unit

The structure in extended XYZ format:
```
4
Lattice="0.766 2.431 3.959 -2.122 -1.287 4.001 2.516 -1.915 3.489" Properties=species:S:1:pos:R:3 pbc="T T T"
Pd 0.580 -0.385 5.724
Mg 0.870 -0.578 8.587
Hg 0.290 -0.192 2.862
Hf 0.000 0.000 0.000
```



(7)
The following is a PBE calculation of crystalline HfMgHgPd at its relaxed geometry, from OQMD via LeMat-Bulk.

Summary:
crystal system	cubic
polymorph energy (0 for the lowest one)	0.00	eV per formula unit

The structure in extended XYZ format:
```
4
Lattice="0.000 3.353 3.353 3.353 0.000 3.353 3.353 3.353 0.000" Properties=species:S:1:pos:R:3 pbc="T T T"
Pd 3.353 3.353 3.353
Hf 1.676 1.676 1.676
Mg 5.030 5.030 5.030
Hg 0.000 0.000 0.000
```



(8)
The following is a PBE calculation of crystalline HfHg2Mo at its relaxed geometry, from OQMD via LeMat-Bulk.

Summary:
crystal system	orthorhombic
formation enthalpy at 0 K	0.54	eV/atom
polymorph energy (0 for the lowest one)	0.03	eV per formula unit

The structure in extended XYZ format:
```
8
Lattice="4.021 -3.608 0.000 4.021 3.608 0.000 0.000 0.000 5.692" Properties=species:S:1:pos:R:3 pbc="T T T"
Mo 4.021 1.229 1.423
Mo 4.021 -1.229 4.269
Hf 0.000 0.000 0.000
Hf 0.000 0.000 2.846
Hg 2.545 1.223 4.269
Hg 2.545 -1.223 1.423
Hg 5.498 -1.223 1.423
Hg 5.498 1.223 4.269
```



(9)
The following is a PBE calculation of crystalline HfHg2Mo at its relaxed geometry, from OQMD via LeMat-Bulk.

Summary:
crystal system	cubic
formation enthalpy at 0 K	0.54	eV/atom
polymorph energy (0 for the lowest one)	0.00	eV per formula unit

The structure in extended XYZ format:
```
4
Lattice="0.000 3.403 3.403 3.403 0.000 3.403 3.403 3.403 0.000" Properties=species:S:1:pos:R:3 pbc="T T T"
Hg 5.105 5.105 5.105
Hg 0.000 0.000 0.000
Hf 3.403 3.403 3.403
Mo 1.702 1.702 1.702
```



(10)
The following is a PBE calculation of crystalline Hf2HgMo at its relaxed geometry, from OQMD via LeMat-Bulk.

Summary:
crystal system	cubic
formation enthalpy at 0 K	0.29	eV/atom

The structure in extended XYZ format:
```
4
Lattice="0.000 3.380 3.380 3.380 0.000 3.380 3.380 3.380 0.000" Properties=species:S:1:pos:R:3 pbc="T T T"
Hg 1.690 1.690 1.690
Hf 0.000 0.000 0.000
Hf 5.069 5.069 5.069
Mo 3.380 3.380 3.380
```



(11)
The following is a PBE calculation of crystalline HfHgMo at its relaxed geometry, from OQMD via LeMat-Bulk.

Summary:
crystal system	cubic
formation enthalpy at 0 K	0.90	eV/atom

The structure in extended XYZ format:
```
3
Lattice="0.000 3.217 3.217 3.217 0.000 3.217 3.217 3.217 0.000" Properties=species:S:1:pos:R:3 pbc="T T T"
Hg 0.000 0.000 0.000
Mo 4.825 4.825 4.825
Hf 1.608 1.608 1.608
```



(12)
The following is a PBE calculation of crystalline Hf4SnHgN2 at its relaxed geometry, from OQMD via LeMat-Bulk.

Summary:
crystal system	hexagonal

The structure in extended XYZ format:
```
8
Lattice="-3.218 0.625 -0.086 1.415 -1.654 -2.452 -2.592 -12.406 6.874" Properties=species:S:1:pos:R:3 pbc="T T T"
Hf -1.723 -8.248 4.570
Hf -2.291 -11.238 4.067
Hf -0.561 -2.958 -0.520
Hf -0.869 -4.158 2.304
Hg 0.000 0.000 0.000
N -3.623 -9.465 4.295
N -2.316 -3.211 0.830
Sn -1.426 -7.098 1.774
```



| no. | total energy (hartree per atom) | magnetic moment (μB per formula unit) |
| --- | --- | --- |
| 1 | -0.1151 | 0.01 |
| 2 | -0.1093 | 0.01 |
| 3 | -0.1725 | 1.65 |
| 4 | -0.1399 | 0.00 |
| 5 | -0.1648 | 0.00 |
| 6 | -0.1616 | 0.00 |
| 7 | -0.1706 | 0.00 |
| 8 | -0.1766 | 1.46 |
| 9 | -0.1769 | 0.05 |
| 10 | -0.2746 | 0.01 |
| 11 | -0.2254 | 0.01 |
| 12 | -0.3165 | 0.00 |